A plane-wave DFT calculation with PBE was carried out for a geometry-optimized HfMg2F structure.

Results
- magnetization (μB/atom) = 0.214
- raw formation energy (eV per formula unit) = 0.53
- total DFT energy (no corrections) (eV per atom) = -3.621
- energy relative to the lowest polymorph listed for this composition (meV/atom) = 768.4
- Fermi-level density of states (states/eV/cell) = 5.052
- calculated volume (Å³/cell) = 86

The structure in POSCAR format:
```
HfMg2F
1.0
0.000 3.500 3.500
3.500 0.000 3.500
3.500 3.500 0.000
Mg F Hf
2 1 1
direct
0.750 0.750 0.750
0.250 0.250 0.250
0.000 0.000 0.000
0.500 0.500 0.500
```

***

A plane-wave DFT calculation with PBE was carried out for a geometry-optimized Li2La2Hg3 structure.

Results
- magnetization (μB/atom) = 0.057
- ΔE_f (meV/atom) = -364
- total DFT energy (no corrections) (eV per atom) = -2.448
- Fermi-level density of states (states/eV/cell) = 5.506
- calculated volume (Å³/cell) = 172

The structure in POSCAR format:
```
Li2La2Hg3
1.0
3.981 0.000 0.528
0.000 3.538 0.000
0.396 0.000 12.277
La Li Hg
2 2 3
direct
0.584 0.500 0.832
0.416 0.500 0.168
0.282 0.500 0.435
0.718 0.500 0.565
0.173 0.000 0.655
0.000 0.000 0.000
0.827 0.000 0.345
```

***

A plane-wave DFT calculation with PBE was carried out for a geometry-optimized NaPuCuI6 structure.

Results
- magnetization (μB/atom) = 0.440
- raw formation energy (eV per formula unit) = -6.59
- total DFT energy (no corrections) (eV per atom) = -3.959
- Fermi-level density of states (states/eV/cell) = 12.336
- calculated volume (Å³/cell) = 354

The structure in POSCAR format:
```
NaPuCuI6
1.0
-6.780 -2.359 -0.195
0.399 -1.753 7.325
-2.324 6.857 -2.116
Cu I Na Pu
1 6 1 1
direct
0.500 0.000 0.000
0.734 0.697 0.683
0.266 0.986 0.683
0.734 0.317 0.014
0.266 0.697 0.014
0.266 0.317 0.303
0.734 0.986 0.303
0.000 0.333 0.667
0.500 0.667 0.333
```

***

A plane-wave DFT calculation with PBE was carried out for a geometry-optimized Ho7Mg2Pt2 structure.

Results
- magnetization (μB/atom) = 0.000
- ΔE_f (meV/atom) = -377
- total DFT energy (no corrections) (eV per atom) = -4.678
- Fermi-level density of states (states/eV/cell) = 12.000
- calculated volume (Å³/cell) = 323

The structure in POSCAR format:
```
Ho7Mg2Pt2
1.0
-1.886 0.367 -6.570
-6.815 -1.145 1.893
-0.394 6.382 2.443
Ho Mg Pt
7 2 2
direct
0.000 0.750 0.500
0.500 0.750 0.000
0.500 0.250 0.000
0.000 0.000 0.000
0.500 0.755 0.500
0.000 0.250 0.500
0.500 0.245 0.500
0.172 0.500 0.172
0.828 0.500 0.828
0.715 0.000 0.285
0.285 0.000 0.715
```

***

A plane-wave DFT calculation with PBE was carried out for a geometry-optimized La2CuNi4Sn3 structure.

Results
- magnetization (μB/atom) = 0.000
- ΔE_f (meV/atom) = -461
- total DFT energy (no corrections) (eV per atom) = -5.369
- Fermi-level density of states (states/eV/cell) = 7.273
- calculated volume (Å³/cell) = 198

The structure in POSCAR format:
```
La2CuNi4Sn3
1.0
-0.450 -4.393 0.497
2.450 0.168 3.703
-8.297 1.463 5.423
Ni La Sn Cu
4 2 3 1
direct
0.500 0.500 0.000
0.500 0.000 0.622
0.000 0.500 0.378
0.000 0.000 0.000
0.000 0.500 0.748
0.500 0.000 0.252
0.000 0.500 0.127
0.000 0.000 0.500
0.500 0.000 0.873
0.500 0.500 0.500
```

***

A plane-wave DFT calculation with PBE was carried out for a geometry-optimized Be2Rh structure.

Results
- magnetization (μB/atom) = 0.000
- ΔE_f (meV/atom) = -548
- total DFT energy (no corrections) (eV per atom) = -5.482
- Fermi-level density of states (states/eV/cell) = 0.857
- calculated volume (Å³/cell) = 60

The structure in POSCAR format:
```
Be2Rh
1.0
-2.781 -2.560 1.750
0.600 -3.551 2.093
-0.077 1.302 4.517
Rh Be
2 4
direct
0.007 0.007 0.519
0.271 0.271 0.925
0.323 0.323 0.396
0.954 0.954 0.049
0.639 0.639 0.722
0.638 0.638 0.222
```

***

A plane-wave DFT calculation with PBE was carried out for a geometry-optimized Ca2C2Cl structure.

Results
- magnetization (μB/atom) = 0.000
- raw formation energy (eV per formula unit) = -3.31
- total DFT energy (no corrections) (eV per atom) = -5.522
- Fermi-level density of states (states/eV/cell) = 1.829
- calculated volume (Å³/cell) = 104

The structure in POSCAR format:
```
Ca2C2Cl
1.0
3.988 -0.154 0.196
1.447 3.719 0.196
-0.119 -0.078 6.882
Cl Ca C
1 2 2
direct
0.000 0.000 0.000
0.672 0.672 0.699
0.328 0.328 0.301
0.139 0.861 0.500
0.861 0.139 0.500
```

***

A plane-wave DFT calculation with PBE was carried out for a geometry-optimized Te2PCl structure.

Results
- magnetization (μB/atom) = 0.000
- raw formation energy (eV per formula unit) = -0.38
- total DFT energy (no corrections) (eV per atom) = -3.480
- energy relative to the lowest polymorph listed for this composition (meV/atom) = 0.0
- calculated volume (Å³/cell) = 652

The structure in POSCAR format:
```
Te2PCl
1.0
5.108 0.000 0.000
0.000 11.215 -0.902
0.000 -1.711 11.522
Cl P Te
4 4 8
direct
0.099 0.606 0.369
0.401 0.106 0.869
0.901 0.394 0.631
0.599 0.894 0.131
0.785 0.966 0.289
0.215 0.034 0.711
0.715 0.466 0.789
0.285 0.534 0.211
0.575 0.369 0.263
0.587 0.908 0.590
0.087 0.592 0.910
0.425 0.631 0.737
0.925 0.869 0.763
0.075 0.131 0.237
0.413 0.092 0.410
0.913 0.408 0.090
```